# 1
Entry from Alexandria via LeMat-Bulk: an optimized crystal structure of CaAs2Rh (GGA-PBEsol).

Properties
V (Å³ per cell): 70
Crystal system: tetragonal
DOS at the Fermi energy (states/eV/f.u.): 2.3
VASP energy (eV per atom): -5.4993
ΔH_f (0 K) (eV per atom): -0.378

a b c (Å): 3.839 4.271 4.270
angles (deg): 90.00 90.00 90.00
Element x y z (fractional)
As1 0.000 0.000 0.000
As2 0.000 0.500 0.500
Rh1 0.500 0.000 0.500
Ca1 0.500 0.500 0.000


# 2
Entry from Alexandria via LeMat-Bulk: an optimized crystal structure of CaTaAs2Rh (GGA-PBEsol).

Properties
V (Å³ per cell): 125
Crystal system: tetragonal
DOS at the Fermi energy (states/eV/f.u.): 5.2
VASP energy (eV per atom): -5.6718
ΔH_f (0 K) (eV per atom): 0.935

a b c (Å): 4.837 4.837 5.362
angles (deg): 90.00 90.00 90.00
Each line ends with the local moment (μB).
Element x y z (fractional)
As1 0.000 0.500 0.000  -0.01
As2 0.500 0.000 0.000  -0.01
Rh1 0.500 0.500 0.500  0.31
Ca1 0.000 0.000 0.500  0.00
Ta1 0.000 0.000 0.000  0.01


# 3
Entry from Alexandria via LeMat-Bulk: an optimized crystal structure of CaAs3Ru (GGA-PBEsol).

Properties
V (Å³ per cell): 131
Crystal system: cubic
DOS at the Fermi energy (states/eV/f.u.): 7.8
VASP energy (eV per atom): -3.8784
ΔH_f (0 K) (eV per atom): 1.647

a b c (Å): 5.074 5.074 5.074
angles (deg): 90.00 90.00 90.00
Each line ends with the local moment (μB).
Element x y z (fractional)
Ru1 0.500 0.500 0.500  2.47
As1 0.000 0.500 0.000  0.01
As2 0.000 0.000 0.500  0.01
As3 0.500 0.000 0.000  0.01
Ca1 0.000 0.000 0.000  0.05